[1]
SiNi3 at its PBEsol-relaxed geometry. Source: Alexandria, functional SCAN.

Structure (CIF):
```
data_SiNi3
_chemical_formula_sum 'Si1 Ni3'
_space_group_name_H-M_alt 'P 1'
_space_group_IT_number 1
_cell_length_a 2.582
_cell_length_b 3.915
_cell_length_c 4.135
_cell_angle_alpha 90.00
_cell_angle_beta 90.00
_cell_angle_gamma 90.00
loop_
_space_group_symop_operation_xyz
'x,y,z'
loop_
_atom_site_label
_atom_site_type_symbol
_atom_site_fract_x
_atom_site_fract_y
_atom_site_fract_z
Ni1 Ni 0.000 0.000 0.993
Ni2 Ni 0.500 0.000 0.491
Ni3 Ni 0.500 0.500 0.843
Si1 Si 0.000 0.500 0.341
```

Calculated values
Density of states at the Fermi level ... 3.7 states/eV/cell
Final energy ... -14.95 eV/atom
Magnetization ... 0.0 μB per formula unit

[2]
Si2Ni3 at its PBEsol-relaxed geometry. Source: Alexandria, functional SCAN.

Structure (CIF):
```
data_Si2Ni3
_chemical_formula_sum 'Si16 Ni24'
_space_group_name_H-M_alt 'P 1'
_space_group_IT_number 1
_cell_length_a 6.849
_cell_length_b 8.066
_cell_length_c 8.066
_cell_angle_alpha 97.00
_cell_angle_beta 90.00
_cell_angle_gamma 90.00
loop_
_space_group_symop_operation_xyz
'x,y,z'
loop_
_atom_site_label
_atom_site_type_symbol
_atom_site_fract_x
_atom_site_fract_y
_atom_site_fract_z
Ni1 Ni 0.939 0.947 0.291
Ni2 Ni 0.439 0.053 0.709
Ni3 Ni 0.439 0.709 0.053
Ni4 Ni 0.939 0.291 0.947
Ni5 Ni 0.561 0.947 0.291
Ni6 Ni 0.061 0.053 0.709
Ni7 Ni 0.061 0.709 0.053
Ni8 Ni 0.561 0.291 0.947
Ni9 Ni 0.250 0.051 0.444
Ni10 Ni 0.750 0.949 0.556
Ni11 Ni 0.750 0.556 0.949
Ni12 Ni 0.250 0.444 0.051
Ni13 Ni 0.250 0.314 0.676
Ni14 Ni 0.750 0.686 0.324
Ni15 Ni 0.750 0.324 0.686
Ni16 Ni 0.250 0.676 0.314
Ni17 Ni 0.500 0.000 0.000
Ni18 Ni 0.000 0.000 0.000
Ni19 Ni 0.438 0.234 0.234
Ni20 Ni 0.938 0.766 0.766
Ni21 Ni 0.062 0.234 0.234
Ni22 Ni 0.562 0.766 0.766
Ni23 Ni 0.750 0.383 0.383
Ni24 Ni 0.250 0.617 0.617
Si1 Si 0.250 0.939 0.176
Si2 Si 0.750 0.061 0.824
Si3 Si 0.750 0.824 0.061
Si4 Si 0.250 0.176 0.939
Si5 Si 0.958 0.190 0.494
Si6 Si 0.458 0.810 0.506
Si7 Si 0.458 0.506 0.810
Si8 Si 0.958 0.494 0.190
Si9 Si 0.542 0.190 0.494
Si10 Si 0.042 0.810 0.506
Si11 Si 0.042 0.506 0.810
Si12 Si 0.542 0.494 0.190
Si13 Si 0.750 0.157 0.157
Si14 Si 0.250 0.843 0.843
Si15 Si 0.250 0.408 0.408
Si16 Si 0.750 0.592 0.592
```

Calculated values
Density of states at the Fermi level ... 12.1 states/eV/cell
Final energy ... -14.26 eV/atom
Magnetization ... 0.0 μB per formula unit

[3]
Si3Ni5 at its PBEsol-relaxed geometry. Source: Alexandria, functional SCAN.

Structure (CIF):
```
data_Si3Ni5
_chemical_formula_sum 'Si6 Ni10'
_space_group_name_H-M_alt 'P 1'
_space_group_IT_number 1
_cell_length_a 4.653
_cell_length_b 6.619
_cell_length_c 6.619
_cell_angle_alpha 120.00
_cell_angle_beta 90.00
_cell_angle_gamma 90.00
loop_
_space_group_symop_operation_xyz
'x,y,z'
loop_
_atom_site_label
_atom_site_type_symbol
_atom_site_fract_x
_atom_site_fract_y
_atom_site_fract_z
Ni1 Ni 0.000 0.667 0.333
Ni2 Ni 0.500 0.333 0.667
Ni3 Ni 0.000 0.333 0.667
Ni4 Ni 0.500 0.667 0.333
Ni5 Ni 0.750 0.743 0.743
Ni6 Ni 0.250 0.257 0.257
Ni7 Ni 0.750 0.000 0.257
Ni8 Ni 0.750 0.257 0.000
Ni9 Ni 0.250 0.743 0.000
Ni10 Ni 0.250 0.000 0.743
Si1 Si 0.750 0.389 0.389
Si2 Si 0.250 0.611 0.611
Si3 Si 0.750 0.000 0.611
Si4 Si 0.750 0.611 0.000
Si5 Si 0.250 0.389 0.000
Si6 Si 0.250 0.000 0.389
```

Calculated values
Density of states at the Fermi level ... 5.6 states/eV/cell
ΔE to the lowest computed polymorph ... 0.000 eV/atom
Magnetization ... 0.0 μB per formula unit

[4]
Si2Ni at its PBEsol-relaxed geometry. Source: Alexandria, functional SCAN.

Structure (CIF):
```
data_Si2Ni
_chemical_formula_sum 'Si4 Ni2'
_space_group_name_H-M_alt 'P 1'
_space_group_IT_number 1
_cell_length_a 2.807
_cell_length_b 5.148
_cell_length_c 5.978
_cell_angle_alpha 64.58
_cell_angle_beta 76.42
_cell_angle_gamma 74.18
loop_
_space_group_symop_operation_xyz
'x,y,z'
loop_
_atom_site_label
_atom_site_type_symbol
_atom_site_fract_x
_atom_site_fract_y
_atom_site_fract_z
Ni1 Ni 0.365 0.261 0.009
Ni2 Ni 0.635 0.739 0.991
Si1 Si 0.056 0.167 0.721
Si2 Si 0.683 0.304 0.330
Si3 Si 0.944 0.833 0.279
Si4 Si 0.317 0.696 0.670
```

Calculated values
Density of states at the Fermi level ... 2.2 states/eV/cell
Final energy ... -12.09 eV/atom
Magnetization ... 0.0 μB per formula unit

[5]
SiNi5 at its PBEsol-relaxed geometry. Source: Alexandria, functional SCAN.

Structure (CIF):
```
data_SiNi5
_chemical_formula_sum 'Si1 Ni5'
_space_group_name_H-M_alt 'P 1'
_space_group_IT_number 1
_cell_length_a 3.472
_cell_length_b 3.497
_cell_length_c 5.396
_cell_angle_alpha 71.10
_cell_angle_beta 90.00
_cell_angle_gamma 90.00
loop_
_space_group_symop_operation_xyz
'x,y,z'
loop_
_atom_site_label
_atom_site_type_symbol
_atom_site_fract_x
_atom_site_fract_y
_atom_site_fract_z
Ni1 Ni 0.500 0.334 0.332
Ni2 Ni 0.000 0.164 0.672
Ni3 Ni 0.500 0.000 0.000
Ni4 Ni 0.000 0.836 0.328
Ni5 Ni 0.500 0.666 0.668
Si1 Si 0.000 0.500 0.000
```

Calculated values
Density of states at the Fermi level ... 4.1 states/eV/cell
Final energy ... -15.43 eV/atom
Magnetization ... 2.0 μB per formula unit

[6]
SiNi5 at its PBEsol-relaxed geometry. Source: Alexandria, functional SCAN.

Structure (CIF):
```
data_SiNi5
_chemical_formula_sum 'Si1 Ni5'
_space_group_name_H-M_alt 'P 1'
_space_group_IT_number 1
_cell_length_a 2.541
_cell_length_b 4.703
_cell_length_c 5.653
_cell_angle_alpha 105.91
_cell_angle_beta 90.00
_cell_angle_gamma 105.67
loop_
_space_group_symop_operation_xyz
'x,y,z'
loop_
_atom_site_label
_atom_site_type_symbol
_atom_site_fract_x
_atom_site_fract_y
_atom_site_fract_z
Ni1 Ni 0.014 0.028 0.009
Ni2 Ni 0.674 0.348 0.347
Ni3 Ni 0.333 0.666 0.687
Ni4 Ni 0.380 0.759 0.254
Ni5 Ni 0.050 0.100 0.603
Si1 Si 0.716 0.432 0.933
```

Calculated values
Density of states at the Fermi level ... 6.1 states/eV/cell
Final energy ... -15.34 eV/atom
Magnetization ... 1.8 μB per formula unit

[7]
SiNi2 at its PBEsol-relaxed geometry. Source: Alexandria, functional SCAN.

Structure (CIF):
```
data_SiNi2
_chemical_formula_sum 'Si2 Ni4'
_space_group_name_H-M_alt 'P 1'
_space_group_IT_number 1
_cell_length_a 2.584
_cell_length_b 4.520
_cell_length_c 6.032
_cell_angle_alpha 109.26
_cell_angle_beta 90.00
_cell_angle_gamma 106.61
loop_
_space_group_symop_operation_xyz
'x,y,z'
loop_
_atom_site_label
_atom_site_type_symbol
_atom_site_fract_x
_atom_site_fract_y
_atom_site_fract_z
Ni1 Ni 0.660 0.320 0.609
Ni2 Ni 0.354 0.709 0.960
Ni3 Ni 0.340 0.680 0.391
Ni4 Ni 0.646 0.291 0.040
Si1 Si 0.033 0.065 0.271
Si2 Si 0.967 0.935 0.729
```

Calculated values
Density of states at the Fermi level ... 3.1 states/eV/cell
Final energy ... -14.58 eV/atom
Magnetization ... 0.0 μB per formula unit

[8]
SiNi3 at its PBEsol-relaxed geometry. Source: Alexandria, functional SCAN.

Structure (CIF):
```
data_SiNi3
_chemical_formula_sum 'Si1 Ni3'
_space_group_name_H-M_alt 'P 1'
_space_group_IT_number 1
_cell_length_a 3.458
_cell_length_b 3.458
_cell_length_c 3.458
_cell_angle_alpha 90.00
_cell_angle_beta 90.00
_cell_angle_gamma 90.00
loop_
_space_group_symop_operation_xyz
'x,y,z'
loop_
_atom_site_label
_atom_site_type_symbol
_atom_site_fract_x
_atom_site_fract_y
_atom_site_fract_z
Ni1 Ni 0.000 0.500 0.500
Ni2 Ni 0.500 0.500 0.000
Ni3 Ni 0.500 0.000 0.500
Si1 Si 0.000 0.000 0.000
```

Calculated values
Density of states at the Fermi level ... 2.3 states/eV/cell
Final energy ... -15.10 eV/atom
Magnetization ... 0.2 μB per formula unit

[9]
SiNi2 at its PBEsol-relaxed geometry. Source: Alexandria, functional SCAN.

Structure (CIF):
```
data_SiNi2
_chemical_formula_sum 'Si4 Ni8'
_space_group_name_H-M_alt 'P 1'
_space_group_IT_number 1
_cell_length_a 3.701
_cell_length_b 4.905
_cell_length_c 7.001
_cell_angle_alpha 90.00
_cell_angle_beta 90.00
_cell_angle_gamma 90.00
loop_
_space_group_symop_operation_xyz
'x,y,z'
loop_
_atom_site_label
_atom_site_type_symbol
_atom_site_fract_x
_atom_site_fract_y
_atom_site_fract_z
Ni1 Ni 0.750 0.457 0.708
Ni2 Ni 0.250 0.043 0.208
Ni3 Ni 0.750 0.957 0.792
Ni4 Ni 0.250 0.543 0.292
Ni5 Ni 0.750 0.328 0.060
Ni6 Ni 0.250 0.172 0.560
Ni7 Ni 0.750 0.828 0.440
Ni8 Ni 0.250 0.672 0.940
Si1 Si 0.750 0.793 0.113
Si2 Si 0.250 0.707 0.613
Si3 Si 0.750 0.293 0.387
Si4 Si 0.250 0.207 0.887
```

Calculated values
Density of states at the Fermi level ... 5.3 states/eV/cell
Final energy ... -14.69 eV/atom
Magnetization ... 0.0 μB per formula unit

[10]
SiNi2 at its PBEsol-relaxed geometry. Source: Alexandria, functional SCAN.

Structure (CIF):
```
data_SiNi2
_chemical_formula_sum 'Si2 Ni4'
_space_group_name_H-M_alt 'P 1'
_space_group_IT_number 1
_cell_length_a 3.868
_cell_length_b 3.868
_cell_length_c 4.910
_cell_angle_alpha 90.00
_cell_angle_beta 90.00
_cell_angle_gamma 120.00
loop_
_space_group_symop_operation_xyz
'x,y,z'
loop_
_atom_site_label
_atom_site_type_symbol
_atom_site_fract_x
_atom_site_fract_y
_atom_site_fract_z
Ni1 Ni 0.000 0.000 0.000
Ni2 Ni 0.000 0.000 0.500
Ni3 Ni 0.333 0.667 0.750
Ni4 Ni 0.667 0.333 0.250
Si1 Si 0.333 0.667 0.250
Si2 Si 0.667 0.333 0.750
```

Calculated values
Density of states at the Fermi level ... 3.7 states/eV/cell
Final energy ... -14.64 eV/atom
Magnetization ... 0.0 μB per formula unit

[11]
SiNi5 at its PBEsol-relaxed geometry. Source: Alexandria, functional SCAN.

Structure (CIF):
```
data_SiNi5
_chemical_formula_sum 'Si1 Ni5'
_space_group_name_H-M_alt 'P 1'
_space_group_IT_number 1
_cell_length_a 3.986
_cell_length_b 4.235
_cell_length_c 4.235
_cell_angle_alpha 120.00
_cell_angle_beta 90.00
_cell_angle_gamma 90.00
loop_
_space_group_symop_operation_xyz
'x,y,z'
loop_
_atom_site_label
_atom_site_type_symbol
_atom_site_fract_x
_atom_site_fract_y
_atom_site_fract_z
Ni1 Ni 0.000 0.333 0.333
Ni2 Ni 0.000 0.667 0.000
Ni3 Ni 0.000 0.000 0.667
Ni4 Ni 0.500 0.333 0.667
Ni5 Ni 0.500 0.667 0.333
Si1 Si 0.500 0.000 0.000
```

Calculated values
Density of states at the Fermi level ... 8.1 states/eV/cell
Final energy ... -15.39 eV/atom
Magnetization ... 0.0 μB per formula unit

[12]
SiNi4 at its PBEsol-relaxed geometry. Source: Alexandria, functional SCAN.

Structure (CIF):
```
data_SiNi4
_chemical_formula_sum 'Si1 Ni4'
_space_group_name_H-M_alt 'P 1'
_space_group_IT_number 1
_cell_length_a 3.527
_cell_length_b 4.218
_cell_length_c 4.218
_cell_angle_alpha 79.93
_cell_angle_beta 65.28
_cell_angle_gamma 65.28
loop_
_space_group_symop_operation_xyz
'x,y,z'
loop_
_atom_site_label
_atom_site_type_symbol
_atom_site_fract_x
_atom_site_fract_y
_atom_site_fract_z
Ni1 Ni 0.602 0.198 0.597
Ni2 Ni 0.801 0.597 0.802
Ni3 Ni 0.398 0.802 0.403
Ni4 Ni 0.199 0.403 0.198
Si1 Si 0.000 0.000 0.000
```

Calculated values
Density of states at the Fermi level ... 6.8 states/eV/cell
Final energy ... -15.25 eV/atom
Magnetization ... 0.0 μB per formula unit